No. 1
DFT (GGA-PBE) results for KInI2 after structural relaxation.

Structure (CIF):
```
data_KInI2
_chemical_formula_sum 'K2 In2 I4'
_cell_length_a 8.6985
_cell_length_b 5.0140
_cell_length_c 8.7334
_cell_angle_alpha 90.00
_cell_angle_beta 109.32
_cell_angle_gamma 90.00
_space_group_name_H-M_alt 'C 1 2/m 1'
_space_group_IT_number 12
loop_
_space_group_symop_operation_xyz
'x,y,z'
'-x,-y,-z'
'-x,y,-z'
'x,-y,z'
'x+1/2,y+1/2,z'
'-x+1/2,-y+1/2,-z'
'-x+1/2,y+1/2,-z'
'x+1/2,-y+1/2,z'
loop_
_atom_site_label
_atom_site_type_symbol
_atom_site_fract_x
_atom_site_fract_y
_atom_site_fract_z
K1 K 0.0000 0.0000 0.0000
In1 In 0.0000 0.5000 0.5000
I1 I 0.2490 0.0000 0.7481
```

Values from the calculation:
Uncorrected formation energy (eV per atom): -0.96
Relative energy among the computed polymorphs (meV per atom): 11
Volume (A^3/atom): 44.9

No. 2
DFT (GGA-PBE) results for KIn5I7 after structural relaxation.

Structure (CIF):
```
data_KIn5I7
_chemical_formula_sum 'K4 In20 I28'
_cell_length_a 15.7744
_cell_length_b 4.8700
_cell_length_c 28.8173
_cell_angle_alpha 90.00
_cell_angle_beta 90.02
_cell_angle_gamma 90.00
_space_group_name_H-M_alt 'C 1 m 1'
_space_group_IT_number 8
loop_
_space_group_symop_operation_xyz
'x,y,z'
'x,-y,z'
'x+1/2,y+1/2,z'
'x+1/2,-y+1/2,z'
loop_
_atom_site_label
_atom_site_type_symbol
_atom_site_fract_x
_atom_site_fract_y
_atom_site_fract_z
K1 K 0.0000 0.0000 0.0000
K2 K 0.0989 0.5000 0.5006
In1 In 0.0233 0.5000 0.1751
In2 In 0.0243 0.5000 0.8254
In3 In 0.0750 0.0000 0.3256
In4 In 0.0748 0.0000 0.6750
In5 In 0.2567 0.0000 0.1026
In6 In 0.2574 0.0000 0.8978
In7 In 0.2990 0.5000 0.2503
In8 In 0.2997 0.5000 0.7504
In9 In 0.3414 0.0000 0.6028
In10 In 0.3419 0.0000 0.3979
I1 I 0.1161 0.5000 0.0741
I2 I 0.1168 0.5000 0.9264
I3 I 0.1612 0.0000 0.2128
I4 I 0.1620 0.0000 0.7876
I5 I 0.2064 0.5000 0.3612
I6 I 0.2058 0.5000 0.6393
I7 I 0.2662 0.0000 0.5003
I8 I 0.3327 0.0000 0.0003
I9 I 0.3920 0.5000 0.1395
I10 I 0.3931 0.5000 0.8611
I11 I 0.4370 0.0000 0.2878
I12 I 0.4371 0.0000 0.7127
I13 I 0.4824 0.5000 0.4266
I14 I 0.4818 0.5000 0.5741
```

Values from the calculation:
Uncorrected formation energy (eV per atom): -0.59
Volume (A^3/atom): 42.6

No. 3
DFT (GGA-PBE) results for K2InI4 after structural relaxation.

Structure (CIF):
```
data_K2InI4
_chemical_formula_sum 'K4 In2 I8'
_cell_length_a 8.4692
_cell_length_b 8.4692
_cell_length_c 9.2753
_cell_angle_alpha 90.00
_cell_angle_beta 90.00
_cell_angle_gamma 90.00
_space_group_name_H-M_alt 'I -4 2 m'
_space_group_IT_number 121
_space_group_name_Hall 'I -4 2'
loop_
_atom_site_label
_atom_site_type_symbol
_atom_site_fract_x
_atom_site_fract_y
_atom_site_fract_z
K1 K 0.0000 0.5000 0.2500
In1 In 0.0000 0.0000 0.0000
I1 I 0.2466 0.2466 0.4661
```

Values from the calculation:
Uncorrected formation energy (eV per atom): -0.94
Relative energy among the computed polymorphs (meV per atom): 46
Volume (A^3/atom): 47.5

No. 4
DFT (GGA-PBE) results for KIn2I after structural relaxation.

Structure (CIF):
```
data_KIn2I
_chemical_formula_sum 'K4 In8 I4'
_cell_length_a 8.4592
_cell_length_b 8.4592
_cell_length_c 8.4592
_cell_angle_alpha 90.00
_cell_angle_beta 90.00
_cell_angle_gamma 90.00
_space_group_name_H-M_alt 'F m -3 m'
_space_group_IT_number 225
_space_group_name_Hall '-F 4 2 3'
loop_
_atom_site_label
_atom_site_type_symbol
_atom_site_fract_x
_atom_site_fract_y
_atom_site_fract_z
K1 K 0.0000 0.0000 0.0000
In1 In 0.2500 0.2500 0.2500
I1 I 0.0000 0.0000 0.5000
```

Values from the calculation:
Uncorrected formation energy (eV per atom): -0.01
Relative energy among the computed polymorphs (meV per atom): 192
Volume (A^3/atom): 37.8

No. 5
DFT (GGA-PBE) results for K3InI after structural relaxation.

Structure (CIF):
```
data_K3InI
_chemical_formula_sum 'K3 In1 I1'
_cell_length_a 6.6360
_cell_length_b 6.6360
_cell_length_c 6.6360
_cell_angle_alpha 90.00
_cell_angle_beta 90.00
_cell_angle_gamma 90.00
_space_group_name_H-M_alt 'P m -3 m'
_space_group_IT_number 221
_space_group_name_Hall '-P 4 2 3'
loop_
_atom_site_label
_atom_site_type_symbol
_atom_site_fract_x
_atom_site_fract_y
_atom_site_fract_z
K1 K 0.0000 0.0000 0.5000
In1 In 0.5000 0.5000 0.5000
I1 I 0.0000 0.0000 0.0000
```

Values from the calculation:
Uncorrected formation energy (eV per atom): -0.35
Relative energy among the computed polymorphs (meV per atom): 0
Volume (A^3/atom): 58.4

No. 6
DFT (GGA-PBE) results for KIn2I after structural relaxation.

Structure (CIF):
```
data_KIn2I
_chemical_formula_sum 'K4 In8 I4'
_cell_length_a 9.8284
_cell_length_b 9.8284
_cell_length_c 6.6492
_cell_angle_alpha 90.00
_cell_angle_beta 90.00
_cell_angle_gamma 90.00
_space_group_name_H-M_alt 'I -4 2 d'
_space_group_IT_number 122
_space_group_name_Hall 'I -4 2bw'
loop_
_atom_site_label
_atom_site_type_symbol
_atom_site_fract_x
_atom_site_fract_y
_atom_site_fract_z
K1 K 0.0000 0.0000 0.0000
In1 In 0.2309 0.2500 0.6250
I1 I 0.0000 0.0000 0.5000
```

Values from the calculation:
Uncorrected formation energy (eV per atom): -0.20
Relative energy among the computed polymorphs (meV per atom): 0
Volume (A^3/atom): 40.1